A plane-wave DFT calculation with PBE was carried out for an optimized crystal structure of Pr2NdMg3Pt2Au.

```
Pr2NdMg3Pt2Au
1.0
4.147 0.000 0.000
0.000 6.617 3.822
0.000 -6.617 3.822
Pr Nd Mg Pt Au
2 1 3 2 1
direct
0.000 0.209 0.791 Pr
0.000 0.791 0.209 Pr
0.000 0.375 0.375 Nd
0.500 0.038 0.038 Mg
0.500 0.545 0.791 Mg
0.500 0.791 0.545 Mg
0.500 0.126 0.458 Pt
0.500 0.458 0.126 Pt
0.000 0.790 0.790 Au
```

Results
- DFT total energy (eV/cell) = -41.65
- SG = Amm2 (38)